1.
Here is Ce3HgPd12 after structural relaxation from Alexandria via LeMat-Bulk. Energies are from PBE.

Geometry as extended XYZ:
```
16
Lattice="4.144 0.000 0.000 0.000 4.144 0.000 0.000 0.000 16.420" Properties=species:S:1:pos:R:3 pbc="T T T"
Pd 0.000 2.072 2.051
Pd 2.072 2.072 8.210
Pd 2.072 2.072 4.088
Pd 0.000 2.072 10.286
Pd 2.072 0.000 10.286
Pd 2.072 0.000 2.051
Pd 0.000 2.072 6.135
Pd 2.072 0.000 6.135
Pd 0.000 2.072 14.369
Pd 2.072 2.072 0.000
Pd 2.072 0.000 14.369
Pd 2.072 2.072 12.332
Hg 0.000 0.000 0.000
Ce 0.000 0.000 12.430
Ce 0.000 0.000 8.210
Ce 0.000 0.000 3.990
```

Properties
Formation enthalpy at 0 K, meV per atom: -673
Space group: No. 123
Density, g cm⁻³: 11.18
Magnetic moment, μB per formula unit: 0.12

---

2.
Here is La2NdSmTm2 after structural relaxation from Alexandria via LeMat-Bulk. Energies are from PBE.

Geometry as extended XYZ:
```
12
Lattice="-0.597 4.612 -3.252 -6.221 1.197 2.839 4.474 5.775 7.370" Properties=species:S:1:pos:R:3 pbc="T T T"
Sm -0.461 3.592 5.179
Sm -3.822 3.868 6.187
La 0.601 8.598 7.132
La -1.559 5.609 8.240
La -0.532 2.522 -1.277
La -1.132 1.545 2.399
Tm 0.117 4.702 1.696
Tm -1.858 6.767 4.986
Tm -4.477 1.738 3.286
Tm 1.926 5.389 7.290
Nd -3.238 4.911 2.607
Nd 1.597 6.539 4.029
```

Properties
Formation enthalpy at 0 K, meV per atom: 70
Space group: No. 26
Density, g cm⁻³: 7.39
Magnetic moment, μB per formula unit: 0.00

---

3.
Here is PaGa6Br12 after structural relaxation from Alexandria via LeMat-Bulk. Energies are from PBE.

Geometry as extended XYZ:
```
19
Lattice="8.872 -0.465 -0.986 -1.049 8.822 -0.986 -0.435 -0.465 8.917" Properties=species:S:1:pos:R:3 pbc="T T T"
Ga 2.785 5.171 0.491
Ga 0.798 3.120 4.936
Ga 2.272 6.891 4.195
Ga 6.590 4.772 2.008
Ga 5.116 1.002 2.749
Ga 4.603 2.722 6.453
Br 2.714 4.933 6.193
Br 4.503 6.661 2.325
Br 8.226 0.522 1.474
Br 6.475 3.033 4.350
Br 4.674 2.960 0.751
Br 5.918 -0.349 7.057
Br 0.390 2.011 8.119
Br -0.838 7.371 5.470
Br 1.470 8.242 -0.113
Br 6.998 5.882 -1.175
Br 0.913 4.860 2.594
Br 2.885 1.232 4.619
Pa 0.000 0.000 0.000
```

Properties
Space group: No. 148
Density, g cm⁻³: 3.90
Magnetic moment, μB per formula unit: 0.00
Raw formation energy, meV per atom: -789.9

---

4.
Here is NiAsCl2 after structural relaxation from Alexandria via LeMat-Bulk. Energies are from PBE.

Geometry as extended XYZ:
```
4
Lattice="6.954 0.137 -0.133 6.169 3.212 -0.133 0.865 0.221 4.353" Properties=species:S:1:pos:R:3 pbc="T T T"
Ni 10.491 2.677 3.065
As 3.497 0.892 1.022
Cl 2.343 0.598 4.030
Cl 5.516 1.408 2.367
```

Properties
Space group: No. 12
Density, g cm⁻³: 3.62
Magnetic moment, μB per formula unit: 0.71
Energy above the lowest structure with this stoichiometry, meV per atom: 355
Raw formation energy, meV per atom: -101.9

---

5.
Here is CaMgCl after structural relaxation from Alexandria via LeMat-Bulk. Energies are from PBE.

Geometry as extended XYZ:
```
3
Lattice="4.787 0.000 0.000 -2.394 4.146 0.000 0.000 0.000 4.777" Properties=species:S:1:pos:R:3 pbc="T T T"
Ca 0.000 0.000 0.803
Cl 2.394 1.382 0.789
Mg 0.000 2.764 3.185
```

Properties
Space group: No. 156
Density, g cm⁻³: 1.75
Magnetic moment, μB per formula unit: 0.00
Energy above the lowest structure with this stoichiometry, meV per atom: 164
Raw formation energy, meV per atom: -729.8

---

6.
Here is La2Nd3In3 after structural relaxation from Alexandria via LeMat-Bulk. Energies are from PBE.

Geometry as extended XYZ:
```
8
Lattice="-4.066 -2.302 1.861 1.974 -4.529 -1.291 4.258 -0.588 8.575" Properties=species:S:1:pos:R:3 pbc="T T T"
In 0.987 -2.264 -0.645
In 0.096 -1.445 5.218
In 3.116 -2.559 3.642
La 1.102 -0.152 2.219
La 3.156 -0.436 6.356
Nd 0.102 -3.574 2.597
Nd -2.033 -1.151 0.930
Nd 2.064 -3.845 6.548
```

Properties
Formation enthalpy at 0 K, meV per atom: -365
Space group: No. 47
Density, g cm⁻³: 7.11
Magnetic moment, μB per formula unit: 0.00

---

7.
Here is Zr10Sn3Bi3 after structural relaxation from Alexandria via LeMat-Bulk. Energies are from PBE.

Geometry as extended XYZ:
```
16
Lattice="-2.845 5.087 -0.430 -4.617 -1.991 7.001 7.459 4.241 0.819" Properties=species:S:1:pos:R:3 pbc="T T T"
Bi 1.127 0.892 3.100
Bi 4.502 2.560 0.494
Bi -2.787 -1.202 4.226
Zr -1.319 1.386 4.831
Zr 1.316 5.951 2.560
Zr 4.127 5.699 0.394
Zr -1.097 -0.473 1.664
Zr 1.772 1.008 0.195
Zr -2.710 3.873 4.620
Zr 2.167 1.716 5.962
Zr 2.707 3.464 2.770
Zr -0.695 3.120 1.787
Zr -4.857 1.062 4.994
Sn -3.199 1.778 2.478
Sn 1.447 4.175 0.100
Sn 0.326 3.928 4.597
```

Properties
Formation enthalpy at 0 K, meV per atom: -443
Space group: No. 189
Density, g cm⁻³: 8.37
Magnetic moment, μB per formula unit: 0.00